Record 1
# GdErGaSn PBE relaxed
data_GdErGaSn
_chemical_formula_sum 'Gd1 Er1 Ga1 Sn1'
_space_group_name_H-M_alt 'P 1'
_space_group_IT_number 1
_cell_length_a 5.220
_cell_length_b 5.220
_cell_length_c 5.220
_cell_angle_alpha 60.00
_cell_angle_beta 60.00
_cell_angle_gamma 60.00
loop_
_space_group_symop_operation_xyz
'x,y,z'
loop_
_atom_site_label
_atom_site_type_symbol
_atom_site_fract_x
_atom_site_fract_y
_atom_site_fract_z
Gd1 Gd 0.500 0.500 0.500
Sn1 Sn 0.250 0.250 0.250
Ga1 Ga 0.750 0.750 0.750
Er1 Er 0.000 0.000 0.000
# Formation enthalpy at 0 K, kcal/mol of atoms: -12.8
# Spin magnetization, μB per formula unit: 7.0
# SG: F-43m (216)

***

Record 2
# DyGa12Cu7 PBE relaxed
data_DyGa12Cu7
_chemical_formula_sum 'Dy1 Ga12 Cu7'
_space_group_name_H-M_alt 'P 1'
_space_group_IT_number 1
_cell_length_a 7.831
_cell_length_b 7.831
_cell_length_c 7.831
_cell_angle_alpha 109.47
_cell_angle_beta 109.47
_cell_angle_gamma 109.47
loop_
_space_group_symop_operation_xyz
'x,y,z'
loop_
_atom_site_label
_atom_site_type_symbol
_atom_site_fract_x
_atom_site_fract_y
_atom_site_fract_z
Dy1 Dy 0.000 0.000 0.000
Ga1 Ga 0.339 0.224 0.562
Ga2 Ga 0.339 0.776 0.115
Ga3 Ga 0.661 0.776 0.438
Ga4 Ga 0.661 0.224 0.885
Ga5 Ga 0.562 0.339 0.224
Ga6 Ga 0.885 0.661 0.224
Ga7 Ga 0.438 0.661 0.776
Ga8 Ga 0.115 0.339 0.776
Ga9 Ga 0.776 0.115 0.339
Ga10 Ga 0.224 0.885 0.661
Ga11 Ga 0.224 0.562 0.339
Ga12 Ga 0.776 0.438 0.661
Cu1 Cu 0.500 0.000 0.500
Cu2 Cu 0.500 0.500 0.000
Cu3 Cu 0.000 0.500 0.500
Cu4 Cu 0.000 0.000 0.500
Cu5 Cu 0.500 0.000 0.000
Cu6 Cu 0.500 0.500 0.500
Cu7 Cu 0.000 0.500 0.000
# Formation enthalpy at 0 K, kcal/mol of atoms: 1.6
# Spin magnetization, μB per formula unit: 0.0
# SG: Im-3 (204)

***

Record 3
# Rb2GaAgSe PBE relaxed
data_Rb2GaAgSe
_chemical_formula_sum 'Rb2 Ga1 Ag1 Se1'
_space_group_name_H-M_alt 'P 1'
_space_group_IT_number 1
_cell_length_a 6.693
_cell_length_b 4.993
_cell_length_c 6.693
_cell_angle_alpha 90.00
_cell_angle_beta 90.00
_cell_angle_gamma 90.00
loop_
_space_group_symop_operation_xyz
'x,y,z'
loop_
_atom_site_label
_atom_site_type_symbol
_atom_site_fract_x
_atom_site_fract_y
_atom_site_fract_z
Ga1 Ga 0.500 0.500 0.500
Se1 Se 0.000 0.000 0.000
Rb1 Rb 0.000 0.000 0.500
Rb2 Rb 0.500 0.000 0.000
Ag1 Ag 0.000 0.500 0.000
# Spin magnetization, μB per formula unit: 0.8
# E_form (uncorrected), meV/atom: -94
# SG: P4/mmm (123)

***

Record 4
# HgClO2 PBE relaxed
data_HgClO2
_chemical_formula_sum 'Hg2 Cl2 O4'
_space_group_name_H-M_alt 'P 1'
_space_group_IT_number 1
_cell_length_a 5.904
_cell_length_b 4.131
_cell_length_c 9.728
_cell_angle_alpha 90.00
_cell_angle_beta 127.73
_cell_angle_gamma 90.00
loop_
_space_group_symop_operation_xyz
'x,y,z'
loop_
_atom_site_label
_atom_site_type_symbol
_atom_site_fract_x
_atom_site_fract_y
_atom_site_fract_z
Hg1 Hg 0.900 0.750 0.149
Hg2 Hg 0.100 0.250 0.851
Cl1 Cl 0.664 0.250 0.915
Cl2 Cl 0.336 0.750 0.085
O1 O 0.836 0.595 0.586
O2 O 0.164 0.405 0.414
O3 O 0.836 0.905 0.586
O4 O 0.164 0.095 0.414
# Offset from the most stable computed form, kJ per mole of atoms: 0.00
# Spin magnetization, μB per formula unit: 1.1
# E_form (uncorrected), meV/atom: -104
# SG: P2_1/m (11)

***

Record 5
# YTi2Pt PBE relaxed
data_YTi2Pt
_chemical_formula_sum 'Y4 Ti8 Pt4'
_space_group_name_H-M_alt 'P 1'
_space_group_IT_number 1
_cell_length_a 7.192
_cell_length_b 5.399
_cell_length_c 8.983
_cell_angle_alpha 90.00
_cell_angle_beta 114.27
_cell_angle_gamma 90.00
loop_
_space_group_symop_operation_xyz
'x,y,z'
loop_
_atom_site_label
_atom_site_type_symbol
_atom_site_fract_x
_atom_site_fract_y
_atom_site_fract_z
Y1 Y 0.901 0.000 0.992
Y2 Y 0.901 0.500 0.492
Y3 Y 0.628 0.000 0.563
Y4 Y 0.628 0.500 0.063
Pt1 Pt 0.377 0.000 0.974
Pt2 Pt 0.377 0.500 0.474
Pt3 Pt 0.752 0.000 0.287
Pt4 Pt 0.752 0.500 0.787
Ti1 Ti 0.382 0.241 0.224
Ti2 Ti 0.382 0.759 0.224
Ti3 Ti 0.382 0.741 0.724
Ti4 Ti 0.382 0.259 0.724
Ti5 Ti 0.065 0.000 0.700
Ti6 Ti 0.065 0.500 0.200
Ti7 Ti 0.148 0.000 0.399
Ti8 Ti 0.148 0.500 0.899
# Formation enthalpy at 0 K, kcal/mol of atoms: -10.2
# Offset from the most stable computed form, kJ per mole of atoms: 7.65
# Spin magnetization, μB per formula unit: 0.0
# SG: Cm (8)

***

Record 6
# GaMo PBE relaxed
data_GaMo
_chemical_formula_sum 'Ga2 Mo2'
_space_group_name_H-M_alt 'P 1'
_space_group_IT_number 1
_cell_length_a 4.320
_cell_length_b 3.103
_cell_length_c 4.671
_cell_angle_alpha 90.00
_cell_angle_beta 90.00
_cell_angle_gamma 90.00
loop_
_space_group_symop_operation_xyz
'x,y,z'
loop_
_atom_site_label
_atom_site_type_symbol
_atom_site_fract_x
_atom_site_fract_y
_atom_site_fract_z
Ga1 Ga 0.000 0.000 0.455
Ga2 Ga 0.000 0.500 0.955
Mo1 Mo 0.500 0.000 0.818
Mo2 Mo 0.500 0.500 0.318
# Formation enthalpy at 0 K, kcal/mol of atoms: -0.3
# Offset from the most stable computed form, kJ per mole of atoms: 7.33
# Spin magnetization, μB per formula unit: 0.0
# SG: Amm2 (38)

***

Record 7
# Ta2MoOsRu PBE relaxed
data_Ta2MoOsRu
_chemical_formula_sum 'Ta2 Mo1 Os1 Ru1'
_space_group_name_H-M_alt 'P 1'
_space_group_IT_number 1
_cell_length_a 4.726
_cell_length_b 4.498
_cell_length_c 4.726
_cell_angle_alpha 90.00
_cell_angle_beta 90.00
_cell_angle_gamma 90.00
loop_
_space_group_symop_operation_xyz
'x,y,z'
loop_
_atom_site_label
_atom_site_type_symbol
_atom_site_fract_x
_atom_site_fract_y
_atom_site_fract_z
Ru1 Ru 0.000 0.500 0.000
Mo1 Mo 0.000 0.000 0.000
Os1 Os 0.500 0.500 0.500
Ta1 Ta 0.000 0.000 0.500
Ta2 Ta 0.500 0.000 0.000
# Formation enthalpy at 0 K, kcal/mol of atoms: 42.1
# Spin magnetization, μB per formula unit: 0.0
# SG: P4/mmm (123)

***

Record 8
# Ac2CeZn PBE relaxed
data_Ac2CeZn
_chemical_formula_sum 'Ac2 Ce1 Zn1'
_space_group_name_H-M_alt 'P 1'
_space_group_IT_number 1
_cell_length_a 3.860
_cell_length_b 3.860
_cell_length_c 9.140
_cell_angle_alpha 90.00
_cell_angle_beta 90.00
_cell_angle_gamma 90.00
loop_
_space_group_symop_operation_xyz
'x,y,z'
loop_
_atom_site_label
_atom_site_type_symbol
_atom_site_fract_x
_atom_site_fract_y
_atom_site_fract_z
Ac1 Ac 0.000 0.000 0.784
Ac2 Ac 0.000 0.000 0.216
Zn1 Zn 0.500 0.500 0.000
Ce1 Ce 0.500 0.500 0.500
# Formation enthalpy at 0 K, kcal/mol of atoms: -0.5
# Offset from the most stable computed form, kJ per mole of atoms: 0.00
# Spin magnetization, μB per formula unit: 1.2
# SG: P4/mmm (123)

***

| no. | DFT total energy (eV/atom) | N(E_F) (states/eV/cell) |
| --- | --- | --- |
| 1 | -6.971 | 2.6 |
| 2 | -3.410 | 8.0 |
| 3 | -2.354 | 5.0 |
| 4 | -3.121 | 1.4 |
| 5 | -7.514 | 16.3 |
| 6 | -6.940 | 2.3 |
| 7 | -9.181 | 5.9 |
| 8 | -3.880 | 8.3 |